(1)
VASP calculation (PBE) on crystalline KBiF at its relaxed geometry.

Summary:
ΔE_f (raw), kJ/mol of formula units: -485
Total energy, eV per atom: -3.96
N(E_F), states/eV per cell: 1.006

```
6
Lattice="2.709 -2.710 0.000 2.709 2.710 0.000 -0.041 0.000 11.350" Properties=species:S:1:pos:R:3 pbc="T T T"
K 1.334 0.000 4.319
K 4.044 0.000 7.031
Bi 1.314 0.000 10.523
Bi 4.064 0.000 0.827
F 1.334 0.000 6.981
F 4.044 0.000 4.369
```

***

(2)
VASP calculation (PBE) on crystalline K2BiF6 at its relaxed geometry.

Summary:
ΔE_f (raw), kJ/mol of formula units: -2147
Polymorph energy (0 for the lowest one), eV/atom: 0.015
Total energy, eV per atom: -4.39
N(E_F), states/eV per cell: 4.782

```
18
Lattice="6.537 0.000 0.000 0.000 6.687 0.000 -5.428 0.000 9.428" Properties=species:S:1:pos:R:3 pbc="T T T"
K -0.008 0.422 2.174
K -2.722 2.922 6.888
K 3.831 3.766 2.540
K 1.117 6.265 7.254
Bi 3.268 0.000 0.000
Bi 0.554 3.344 4.714
F -3.938 1.177 9.022
F -1.224 2.166 4.308
F -0.450 4.938 3.633
F -3.165 5.093 8.347
F -1.292 0.747 7.592
F 1.422 2.597 2.878
F -0.313 4.091 6.550
F 2.401 5.941 1.836
F 4.273 1.594 1.082
F 1.559 1.749 5.796
F 2.333 4.521 5.120
F 5.047 5.510 0.406
```

***

(3)
VASP calculation (PBE) on crystalline K4BiF at its relaxed geometry.

Summary:
ΔE_f (raw), kJ/mol of formula units: -660
Total energy, eV per atom: -2.83
N(E_F), states/eV per cell: 1.926

```
12
Lattice="2.955 -9.466 0.000 2.955 9.466 0.000 0.000 0.000 7.635" Properties=species:S:1:pos:R:3 pbc="T T T"
K 0.000 0.000 0.000
K 0.000 0.000 3.818
K 2.955 5.890 3.835
K 2.955 5.890 7.618
K 2.955 1.444 1.909
K 2.955 -1.444 5.726
K 2.955 -5.890 0.018
K 2.955 -5.890 3.800
Bi 2.955 2.401 5.726
Bi 2.955 -2.401 1.909
F 2.955 7.697 5.726
F 2.955 -7.697 1.909
```